Entry i
Below is an optimized crystal structure of MgHgSe2, with properties calculated at the PBE-GGA level.

a b c (Å): 7.1143 7.1143 7.1143
angles (deg): 149.57 149.28 43.78
Last column: nearest neighbours and their distance in Å.
Positions (direct):
Hg (0.4580, 0.4580, 0.0000)  6 Se 2.92-2.98
Mg (0.2087, 0.7087, 0.5000)  6 Se 2.81-2.83
Se (0.0500, 0.0500, 0.0000)  2 Mg 2.81, 4 Hg 2.92
Se (0.7833, 0.2833, 0.5000)  4 Mg 2.83, 2 Hg 2.98

## Properties
Size of the total moment = 0.00 μB/cell

Entry ii
Below is an optimized crystal structure of MgHgSe2, with properties calculated at the PBE-GGA level.

a b c (Å): 4.9999 4.9999 4.9999
angles (deg): 60.00 60.00 60.00
Last column: nearest neighbours and their distance in Å.
Positions (direct):
Hg (0.5000, 0.5000, 0.5000)  4 Mg 3.06, 4 Se 3.06
Mg (0.2500, 0.2500, 0.2500)  4 Se 3.06, 4 Hg 3.06
Se (0.0000, 0.0000, 0.0000)  4 Se 3.06, 4 Mg 3.06
Se (0.7500, 0.7500, 0.7500)  4 Hg 3.06, 4 Se 3.06

## Properties
Size of the total moment = 0.00 μB/cell

Entry iii
Below is an optimized crystal structure of MgHgSe2, with properties calculated at the PBE-GGA level.

a b c (Å): 6.1304 4.3456 8.6217
angles (deg): 89.99 89.99 90.03
Last column: nearest neighbours and their distance in Å.
Positions (direct):
Mg (0.8602, 0.2908, 0.8230)  4 Se 2.60-2.61
Mg (0.3601, 0.7916, 0.0682)  4 Se 2.60-2.61
Hg (0.8567, 0.2964, 0.3108)  4 Se 2.70-2.71
Hg (0.3566, 0.7963, 0.5808)  4 Se 2.70-2.71
Se (0.6184, 0.2957, 0.5759)  1 Mg 2.60, 3 Hg 2.70-2.71
Se (0.5938, 0.2922, 0.0583)  3 Mg 2.60-2.61, 1 Hg 2.71
Se (0.0936, 0.7916, 0.8332)  3 Mg 2.60-2.61, 1 Hg 2.71
Se (0.1185, 0.7958, 0.3155)  1 Mg 2.60, 3 Hg 2.70-2.71

## Properties
Size of the total moment = 0.00 μB/cell

Entry iv
Below is an optimized crystal structure of MgHgSe2, with properties calculated at the PBE-GGA level.

a b c (Å): 3.6490 4.8890 4.8890
angles (deg): 90.00 90.00 90.00
Last column: nearest neighbours and their distance in Å.
Positions (direct):
Hg (0.5000, 0.5000, 0.0000)  8 Se 3.05
Mg (0.5000, 0.0000, 0.5000)  8 Se 3.05
Se (0.0000, 0.0000, 0.0000)  4 Hg 3.05, 4 Mg 3.05
Se (0.0000, 0.5000, 0.5000)  4 Hg 3.05, 4 Mg 3.05

## Properties
Size of the total moment = 0.00 μB/cell

entry iii is the most stable structure; the next one sits 28.3 kJ/mol of atoms above it.

Entry i
Below is an optimized crystal structure of Mg2HgSe2, with properties calculated at the PBE-GGA level.

a b c (Å): 5.2350 5.2350 7.4296
angles (deg): 69.37 69.37 90.00
Last column: nearest neighbours and their distance in Å.
Positions (direct):
Mg (0.2351, 0.2351, 0.5297)  4 Se 2.62
Mg (0.7649, 0.7649, 0.4703)  4 Se 2.62
Hg (0.0000, 0.0000, 0.0000)  2 Mg 3.03
Se (0.7500, 0.2500, 0.5000)  4 Mg 2.62
Se (0.2500, 0.7500, 0.5000)  4 Mg 2.62

## Properties
Size of the total moment = 0.00 μB/cell

Entry ii
Below is an optimized crystal structure of Mg2HgSe2, with properties calculated at the PBE-GGA level.

a b c (Å): 4.5872 4.5872 7.8526
angles (deg): 73.02 73.02 90.00
Last column: nearest neighbours and their distance in Å.
Positions (direct):
Mg (0.7500, 0.2500, 0.5000)  4 Se 2.63
Mg (0.2500, 0.7500, 0.5000)  4 Se 2.63
Hg (0.0000, 0.0000, 0.0000)  8 Se 3.97, 8 Mg 4.25
Se (0.3394, 0.3394, 0.3212)  4 Mg 2.63
Se (0.6606, 0.6606, 0.6788)  4 Mg 2.63

## Properties
Size of the total moment = 0.00 μB/cell

entry ii is the most stable structure; the next one sits 14.8 kJ/mol of atoms above it.

Entry i
Below is an optimized crystal structure of MgHg3Se, with properties calculated at the PBE-GGA level.

a b c (Å): 5.5690 5.5690 5.5690
angles (deg): 90.00 90.00 90.00
Last column: nearest neighbours and their distance in Å.
Positions (direct):
Mg (0.5000, 0.5000, 0.5000)  12 Hg 3.94
Hg (0.0000, 0.5000, 0.0000)  2 Se 2.78
Hg (0.0000, 0.0000, 0.5000)  2 Se 2.78
Hg (0.5000, 0.0000, 0.0000)  2 Se 2.78
Se (0.0000, 0.0000, 0.0000)  6 Hg 2.78

## Properties
Size of the total moment = 0.00 μB/cell

Entry ii
Below is an optimized crystal structure of MgHg3Se, with properties calculated at the PBE-GGA level.

a b c (Å): 5.3810 5.3810 5.3810
angles (deg): 90.00 90.00 90.00
Last column: nearest neighbours and their distance in Å.
Positions (direct):
Mg (0.0000, 0.0000, 0.0000)  6 Hg 2.69
Hg (0.0000, 0.5000, 0.0000)  2 Mg 2.69
Hg (0.0000, 0.0000, 0.5000)  2 Mg 2.69
Hg (0.5000, 0.0000, 0.0000)  2 Mg 2.69
Se (0.5000, 0.5000, 0.5000)  12 Hg 3.80

## Properties
Size of the total moment = 0.32 μB/cell

entry ii is the most stable structure; the next one sits 2.4 kJ/mol of atoms above it.